DFT (GGA-PBE) results for an optimized crystal structure of Al2TlFe.

## Properties
E: -15.93 eV per cell
Density: 7.9 Mg/m³
Total moment: 2.0 μB/cell

Lattice parameters (Å, degrees): 4.540 4.540 4.540 60.00 60.00 60.00
Fractional coordinates of all 4 atoms:
Al1 0.000 0.000 0.000
Al2 0.250 0.250 0.250
Tl1 0.500 0.500 0.500
Fe1 0.750 0.750 0.750